# 1
Entry from Alexandria via LeMat-Bulk: a relaxed SmEuLu2 crystal (GGA-PBE).

Energy above the most stable polymorph in this dataset ... 0 meV/atom
E ... -5.932 eV per atom
DOS at the Fermi energy ... 5.54 states/eV per cell
Density ... 8.222 Mg/m³

extended XYZ file:
```
4
Lattice="3.608 0.000 0.000 0.000 3.608 0.000 0.000 0.000 10.119" Properties=species:S:1:pos:R:3 pbc="T T T"
Lu 0.000 0.000 7.727
Lu 0.000 0.000 2.392
Sm 1.804 1.804 0.000
Eu 1.804 1.804 5.059
```

***

# 2
Entry from Alexandria via LeMat-Bulk: a relaxed NaLi3Pu4O12 crystal (GGA-PBE).

E ... -8.750 eV per atom
DOS at the Fermi energy ... 14.63 states/eV per cell
Raw formation energy ... -2.555 eV/atom
Density ... 7.716 Mg/m³

extended XYZ file:
```
20
Lattice="6.971 0.000 0.000 -2.324 6.573 0.000 -2.324 -3.286 5.692" Properties=species:S:1:pos:R:3 pbc="T T T"
Pu -1.162 -1.643 2.846
Pu 3.486 0.000 0.000
Pu -1.162 3.286 0.000
Pu 1.162 1.643 2.846
Na 0.000 0.000 0.000
O 2.396 -1.694 4.986
O 2.251 1.408 1.026
O 0.072 1.879 4.667
O 4.071 3.981 1.026
O 1.747 3.694 2.935
O -0.577 2.184 1.732
O 0.577 -0.408 2.757
O -0.072 4.981 0.706
O -2.396 3.471 3.960
O 4.720 -0.184 1.732
O -1.747 -0.694 4.667
O 2.901 1.102 3.960
Li 2.324 3.286 0.000
Li 2.324 -1.643 2.846
Li -2.324 1.643 2.846
```

***

# 3
Entry from Alexandria via LeMat-Bulk: a relaxed Ce4AgAu3 crystal (GGA-PBE).

Energy above the most stable polymorph in this dataset ... 15 meV/atom
E ... -5.014 eV per atom
DOS at the Fermi energy ... 27.71 states/eV per cell
Density ... 10.326 Mg/m³

extended XYZ file:
```
8
Lattice="3.718 0.000 0.000 0.000 5.206 0.000 0.000 0.000 10.462" Properties=species:S:1:pos:R:3 pbc="T T T"
Ce 0.000 0.000 5.231
Ce 0.000 2.603 2.710
Ce 0.000 0.000 0.000
Ce 0.000 2.603 7.752
Au 1.859 0.000 2.521
Au 1.859 0.000 7.940
Au 1.859 2.603 5.231
Ag 1.859 2.603 0.000
```

***

# 4
Entry from Alexandria via LeMat-Bulk: a relaxed CuPt2Pb crystal (GGA-PBE).

E ... -4.923 eV per atom
DOS at the Fermi energy ... 1.69 states/eV per cell
Density ... 15.563 Mg/m³

extended XYZ file:
```
4
Lattice="3.450 -0.026 0.000 0.026 3.450 0.000 0.000 0.000 5.923" Properties=species:S:1:pos:R:3 pbc="T T T"
Pb 1.738 1.712 4.477
Pt 0.000 0.000 0.077
Pt 1.738 1.712 1.642
Cu 0.000 0.000 2.688
```

***

# 5
Entry from Alexandria via LeMat-Bulk: a relaxed Cs2Ag2Cl crystal (GGA-PBE).

Energy above the most stable polymorph in this dataset ... 324 meV/atom
E ... -2.199 eV per atom
DOS at the Fermi energy ... 2.41 states/eV per cell
Raw formation energy ... -0.347 eV/atom
Density ... 4.075 Mg/m³

extended XYZ file:
```
5
Lattice="-5.941 -1.217 -3.456 3.563 -3.456 -4.907 -1.719 -6.017 -1.975" Properties=species:S:1:pos:R:3 pbc="T T T"
Ag -2.742 -7.203 -6.846
Ag -1.355 -3.487 -3.492
Cs 0.327 -5.905 -5.532
Cs -4.424 -4.785 -4.806
Cl 0.000 0.000 0.000
```

***

# 6
Entry from Alexandria via LeMat-Bulk: a relaxed YBP3 crystal (GGA-PBE).

Energy above the most stable polymorph in this dataset ... 0 meV/atom
E ... -5.750 eV per atom
DOS at the Fermi energy ... 3.15 states/eV per cell
Density ... 4.009 Mg/m³

extended XYZ file:
```
5
Lattice="4.305 0.000 0.000 0.000 4.305 0.000 0.000 0.000 4.305" Properties=species:S:1:pos:R:3 pbc="T T T"
B 0.000 0.000 0.000
P 0.000 0.000 2.153
P 2.153 0.000 0.000
P 0.000 2.153 0.000
Y 2.153 2.153 2.153
```

***

# 7
Entry from Alexandria via LeMat-Bulk: a relaxed Sm7Te2Au2 crystal (GGA-PBE).

Energy above the most stable polymorph in this dataset ... 349 meV/atom
E ... -4.638 eV per atom
DOS at the Fermi energy ... 14.92 states/eV per cell
Raw formation energy ... -0.467 eV/atom
Density ... 8.200 Mg/m³

extended XYZ file:
```
11
Lattice="6.746 -0.005 -0.739 0.002 7.787 0.005 -1.158 0.000 6.687" Properties=species:S:1:pos:R:3 pbc="T T T"
Sm 2.795 5.632 2.977
Sm 6.168 5.548 2.605
Sm 2.213 2.231 6.318
Sm 2.795 2.149 2.975
Sm 3.377 5.550 -0.366
Sm -0.578 2.234 3.347
Sm 0.000 0.000 0.000
Au 4.549 3.889 4.843
Au 1.042 3.893 1.110
Te 4.501 -0.002 1.370
Te 1.089 7.784 4.582
```

***

# 8
Entry from Alexandria via LeMat-Bulk: a relaxed LaLu2Sc crystal (GGA-PBE).

Energy above the most stable polymorph in this dataset ... 0 meV/atom
E ... -5.009 eV per atom
DOS at the Fermi energy ... 7.87 states/eV per cell
Density ... 7.369 Mg/m³

extended XYZ file:
```
4
Lattice="5.025 0.000 0.000 0.000 4.893 0.000 0.000 0.000 4.893" Properties=species:S:1:pos:R:3 pbc="T T T"
Lu 0.000 2.446 0.000
Lu 0.000 0.000 2.446
Sc 2.513 0.000 0.000
La 2.513 2.446 2.446
```

***

# 9
Entry from Alexandria via LeMat-Bulk: a relaxed Nd2In3Ni crystal (GGA-PBE).

Energy above the most stable polymorph in this dataset ... 0 meV/atom
E ... -4.336 eV per atom
DOS at the Fermi energy ... 4.71 states/eV per cell
Density ... 7.536 Mg/m³

extended XYZ file:
```
6
Lattice="-1.102 -0.618 -3.597 2.457 -4.134 -0.043 -6.730 -4.029 2.754" Properties=species:S:1:pos:R:3 pbc="T T T"
Ni -1.488 -3.672 -0.934
Nd 0.988 -2.211 0.077
Nd -3.258 -1.950 1.333
In -3.650 -4.967 -0.049
In -6.165 -3.670 0.499
In -1.770 -1.039 -1.299
```

***

# 10
Entry from Alexandria via LeMat-Bulk: a relaxed Sr8As crystal (GGA-PBE).

E ... -2.176 eV per atom
DOS at the Fermi energy ... 6.22 states/eV per cell
Density ... 3.017 Mg/m³

extended XYZ file:
```
9
Lattice="9.059 -3.809 1.955 -8.625 4.472 2.452 -4.256 -9.058 -0.492" Properties=species:S:1:pos:R:3 pbc="T T T"
Sr -2.188 1.458 2.271
Sr 2.623 -0.795 2.136
Sr -2.940 -6.352 1.246
Sr 1.616 -4.328 0.492
Sr 3.188 -8.540 0.971
Sr -4.332 -1.542 0.659
Sr -8.548 -3.044 1.301
Sr -0.881 -2.042 2.669
As 0.000 0.000 0.000
```

***

# 11
Entry from Alexandria via LeMat-Bulk: a relaxed BaGeTe2 crystal (GGA-PBE).

E ... -4.074 eV per atom
Raw formation energy ... -0.868 eV/atom
Density ... 4.861 Mg/m³

extended XYZ file:
```
16
Lattice="-0.977 -9.770 3.373 8.279 -0.973 -0.420 -5.043 2.996 7.215" Properties=species:S:1:pos:R:3 pbc="T T T"
Ge -0.636 -0.556 4.141
Ge -3.641 -3.952 9.412
Ge 2.895 -7.191 6.028
Ge 5.899 -3.795 0.757
Ba 5.345 -9.385 2.674
Ba 3.309 -3.002 4.594
Ba -1.051 -4.745 5.575
Ba -3.086 1.637 7.495
Te 4.076 -6.265 3.678
Te 2.044 -4.839 7.259
Te -1.817 -1.482 6.491
Te 5.047 -1.435 1.972
Te 2.034 0.111 5.614
Te -2.788 -6.313 8.197
Te 0.215 -2.909 2.910
Te 0.225 -7.858 4.555
```

***

# 12
Entry from Alexandria via LeMat-Bulk: a relaxed CoTc2Ru crystal (GGA-PBE).

Energy above the most stable polymorph in this dataset ... 115 meV/atom
E ... -9.199 eV per atom
DOS at the Fermi energy ... 4.08 states/eV per cell
Density ... 10.997 Mg/m³

extended XYZ file:
```
4
Lattice="4.629 -0.005 0.001 -1.586 4.349 0.001 -0.001 -0.001 2.671" Properties=species:S:1:pos:R:3 pbc="T T T"
Co 2.314 -0.003 1.336
Tc 1.521 2.172 0.001
Tc 0.000 0.000 0.000
Ru -0.794 2.174 1.336
```

***

# 13
Entry from Alexandria via LeMat-Bulk: a relaxed SiBiRu2Pb crystal (GGA-PBE).

E ... -4.427 eV per atom
DOS at the Fermi energy ... 6.54 states/eV per cell
Raw formation energy ... 1.886 eV/atom
Density ... 7.265 Mg/m³

extended XYZ file:
```
5
Lattice="-1.479 -4.734 -0.797 5.076 -1.951 2.168 -2.019 -0.143 4.598" Properties=species:S:1:pos:R:3 pbc="T T T"
Ru -0.740 -2.367 -0.399
Ru -1.010 -0.072 2.299
Bi 0.000 0.000 0.000
Pb 2.538 -0.975 1.084
Si 0.789 -3.414 2.984
```

***

# 14
Entry from Alexandria via LeMat-Bulk: a relaxed NaScV3 crystal (GGA-PBE).

Energy above the most stable polymorph in this dataset ... 0 meV/atom
E ... -5.345 eV per atom
DOS at the Fermi energy ... 6.40 states/eV per cell
Density ... 3.254 Mg/m³

extended XYZ file:
```
5
Lattice="-2.768 0.971 -3.837 3.625 -1.259 -2.933 -1.590 -4.560 -0.007" Properties=species:S:1:pos:R:3 pbc="T T T"
V -0.795 -2.280 -0.004
V 1.812 -0.630 -1.467
V -1.384 0.486 -1.919
Na -0.367 -2.424 -3.389
Sc 0.000 0.000 0.000
```

***

# 15
Entry from Alexandria via LeMat-Bulk: a relaxed La2ReAuN crystal (GGA-PBE).

E ... -7.490 eV per atom
DOS at the Fermi energy ... 2.95 states/eV per cell
Raw formation energy ... -0.709 eV/atom
Density ... 10.252 Mg/m³

extended XYZ file:
```
5
Lattice="5.300 0.000 0.000 0.000 5.300 0.000 0.000 0.000 3.893" Properties=species:S:1:pos:R:3 pbc="T T T"
Au 2.650 2.650 1.946
La 0.000 2.650 0.000
La 2.650 0.000 0.000
Re 0.000 0.000 1.946
N 0.000 0.000 0.000
```

***

# 16
Entry from Alexandria via LeMat-Bulk: a relaxed Ba5As2N crystal (GGA-PBE).

E ... -4.106 eV per atom
DOS at the Fermi energy ... 3.62 states/eV per cell
Raw formation energy ... -0.701 eV/atom
Density ... 4.011 Mg/m³

extended XYZ file:
```
16
Lattice="6.402 0.000 0.000 -3.201 7.536 0.000 0.000 0.000 14.596" Properties=species:S:1:pos:R:3 pbc="T T T"
N 3.201 4.700 10.947
N 0.000 2.836 3.649
Ba 0.000 4.664 1.493
Ba 0.000 4.230 10.947
Ba 0.000 0.849 1.817
Ba 0.000 0.849 5.481
Ba 0.000 4.664 5.805
Ba 3.201 6.688 12.779
Ba 3.201 6.688 9.115
Ba 3.201 2.872 13.102
Ba 3.201 3.306 3.649
Ba 3.201 2.872 8.791
As 3.201 5.158 6.312
As 3.201 5.158 0.986
As 0.000 2.378 13.610
As 0.000 2.378 8.283
```

***

# 17
Entry from Alexandria via LeMat-Bulk: a relaxed Er8GeTe4P3 crystal (GGA-PBE).

E ... -5.806 eV per atom
DOS at the Fermi energy ... 4.78 states/eV per cell
Raw formation energy ... -1.436 eV/atom
Density ... 8.166 Mg/m³

extended XYZ file:
```
16
Lattice="-7.185 -0.569 3.966 4.075 0.123 7.401 1.262 6.104 -5.370" Properties=species:S:1:pos:R:3 pbc="T T T"
Er -0.700 0.042 3.035
Er 1.792 2.868 3.658
Er -4.267 -0.240 5.004
Er -1.149 5.615 2.961
Er 2.419 5.898 0.993
Er -3.640 2.790 2.338
Er -0.045 3.102 0.365
Er -1.804 2.556 5.632
P -1.555 -0.223 5.683
P -0.924 2.829 2.998
P 2.668 3.114 1.015
Ge 2.037 0.062 3.700
Te -2.962 2.767 -0.702
Te -3.593 -0.285 1.983
Te 0.631 3.052 -2.685
Te 0.000 0.000 0.000
```

***

# 18
Entry from Alexandria via LeMat-Bulk: a relaxed Tb8Pr3Th3 crystal (GGA-PBE).

E ... -5.086 eV per atom
DOS at the Fermi energy ... 22.32 states/eV per cell
Density ... 8.449 Mg/m³

extended XYZ file:
```
14
Lattice="-4.039 -0.553 -3.878 4.148 -3.500 -7.906 -4.335 -8.397 1.627" Properties=species:S:1:pos:R:3 pbc="T T T"
Tb -4.790 -5.851 -2.339
Tb -0.523 -3.388 -7.134
Tb -1.594 -4.939 -1.718
Tb -3.703 -9.063 -3.022
Tb -2.632 -7.511 -8.438
Tb -4.570 -8.629 -6.261
Tb 0.564 -6.600 -7.817
Tb 0.343 -3.821 -3.895
Th -2.987 -7.619 0.112
Th -2.019 -0.276 -1.939
Th 2.799 -4.279 -6.390
Pr -3.209 -3.014 -4.404
Pr -2.113 -6.225 -5.078
Pr -1.017 -9.437 -5.752
```

***

# 19
Entry from Alexandria via LeMat-Bulk: a relaxed K5Rb4Na3 crystal (GGA-PBE).

Energy above the most stable polymorph in this dataset ... 0 meV/atom
E ... -1.059 eV per atom
DOS at the Fermi energy ... 8.48 states/eV per cell
Density ... 1.192 Mg/m³

extended XYZ file:
```
12
Lattice="7.513 0.000 1.617 3.863 10.229 0.313 1.465 -2.857 11.453" Properties=species:S:1:pos:R:3 pbc="T T T"
K 3.305 0.565 2.908
K 7.073 6.419 3.663
K 5.769 0.952 9.720
K 9.537 6.807 10.475
K 2.664 3.686 5.883
Na 6.421 3.686 6.691
Na 9.370 2.709 11.252
Na 3.472 4.663 2.131
Rb 7.366 2.318 2.301
Rb 10.513 8.782 5.943
Rb 5.476 5.053 11.082
Rb 2.329 -1.411 7.440
```

***

# 20
Entry from Alexandria via LeMat-Bulk: a relaxed LaAgPt2 crystal (GGA-PBE).

E ... -5.438 eV per atom
DOS at the Fermi energy ... 1.47 states/eV per cell
Density ... 12.445 Mg/m³

extended XYZ file:
```
4
Lattice="-1.939 0.110 3.313 -2.281 -2.827 -1.241 3.609 -3.896 2.242" Properties=species:S:1:pos:R:3 pbc="T T T"
Pt -1.096 -2.453 1.666
Pt 3.550 -3.831 2.205
La 0.704 -4.396 2.784
Ag 1.646 -1.776 1.022
```

***

# 21
Entry from Alexandria via LeMat-Bulk: a relaxed Nd3PtO7 crystal (GGA-PBE).

E ... -7.469 eV per atom
DOS at the Fermi energy ... 14.99 states/eV per cell
Raw formation energy ... -2.464 eV/atom
Density ... 7.796 Mg/m³

extended XYZ file:
```
22
Lattice="6.661 -0.042 0.000 -2.334 6.239 0.000 0.000 0.000 7.601" Properties=species:S:1:pos:R:3 pbc="T T T"
O -1.040 5.553 5.700
O 1.746 2.501 5.700
O 5.572 0.937 5.700
O 4.123 3.478 7.313
O 2.483 1.129 3.513
O 0.205 2.720 0.288
O 2.582 3.697 1.900
O 4.123 3.478 4.088
O 1.845 5.069 4.088
O 2.483 1.129 0.288
O 1.845 5.069 7.313
O -1.244 5.261 1.900
O 0.205 2.720 3.513
O 5.367 0.644 1.900
Nd 5.028 2.934 1.900
Nd 3.305 0.467 5.700
Nd -0.700 3.264 5.700
Nd 0.000 0.000 0.000
Nd 1.022 5.731 1.900
Nd 0.000 0.000 3.800
Pt 2.164 3.099 3.800
Pt 2.164 3.099 0.000
```

***

# 22
Entry from Alexandria via LeMat-Bulk: a relaxed SrMo3Pt crystal (GGA-PBE).

Energy above the most stable polymorph in this dataset ... 1554 meV/atom
E ... -5.084 eV per atom
DOS at the Fermi energy ... 7.33 states/eV per cell
Density ... 9.381 Mg/m³

extended XYZ file:
```
5
Lattice="-1.560 4.293 0.905 -0.286 -1.058 4.526 4.378 1.461 0.619" Properties=species:S:1:pos:R:3 pbc="T T T"
Mo -0.143 -0.529 2.263
Mo -0.780 2.147 0.453
Mo 2.189 0.730 0.309
Sr 0.000 0.000 0.000
Pt 1.266 2.348 3.025
```

***

Total magnetic moment readings, ordered: 8.0, 12.0, 4.2, 0.0, 0.0, 0.0, 0.0, 0.0, 0.0, 0.0, 0.0, 0.0, 2.5, 7.0, 0.0, 1.7, 0.0, 0.0, 0.0, 0.0, 1.6, 0.0 μB/cell